1.
A plane-wave DFT calculation with PBE was carried out for YTiAs2 after structural relaxation.

a b c (Å): 3.879 3.879 6.759
angles (deg): 73.33 73.33 60.00
Atoms (fractional coordinates):
As 0.740 0.740 0.779
As 0.260 0.260 0.221
Y 0.500 0.500 0.500
Ti 0.000 0.000 0.000

Calculated values
- Size of the total moment: 0.004 μB/atom
- ΔE_f: -1.1536 eV per atom
- Space group: No. 166
- Energy above the most stable polymorph in this dataset: 0.0000 eV/atom

=====

2.
A plane-wave DFT calculation with PBE was carried out for YTiAs2 after structural relaxation.

a b c (Å): 6.138 6.138 7.416
angles (deg): 65.55 65.55 90.00
Atoms (fractional coordinates):
As 0.581 0.125 0.250
As 0.875 0.831 0.750
Ti 0.250 0.750 0.500
Y 0.750 0.250 0.500
Y 0.000 0.000 0.000
As 0.375 0.419 0.750
Ti 0.500 0.500 0.000
As 0.169 0.625 0.250

Calculated values
- Size of the total moment: 0.000 μB/atom
- ΔE_f: -0.6314 eV per atom
- Space group: No. 122
- Energy above the most stable polymorph in this dataset: 0.5221 eV/atom

=====

3.
A plane-wave DFT calculation with PBE was carried out for YTiAs3 after structural relaxation.

a b c (Å): 5.292 5.292 5.292
angles (deg): 90.00 90.00 90.00
Site moments in Bohr magnetons follow the coordinates.
Atoms (fractional coordinates):
As 0.000 0.500 0.000  0.04
Y 0.000 0.000 0.000  0.00
Ti 0.500 0.500 0.500  -0.26
As 0.000 0.000 0.500  -0.01
As 0.500 0.000 0.000  0.06

Calculated values
- Size of the total moment: 0.016 μB/atom
- ΔE_f: 0.6967 eV per atom
- Space group: No. 221
- Energy above the most stable polymorph in this dataset: 1.1194 eV/atom

=====

4.
A plane-wave DFT calculation with PBE was carried out for Y2Ti2As after structural relaxation.

a b c (Å): 6.934 6.934 4.676
angles (deg): 90.00 90.00 90.00
Site moments in Bohr magnetons follow the coordinates.
Atoms (fractional coordinates):
Ti 0.860 0.640 0.000  0.36
Y 0.837 0.337 0.500  0.10
Y 0.663 0.837 0.500  0.10
As 0.500 0.500 0.000  -0.02
Ti 0.140 0.360 0.000  0.36
As 0.000 0.000 0.000  -0.02
Y 0.337 0.163 0.500  0.10
Ti 0.360 0.860 0.000  0.36
Ti 0.640 0.140 0.000  0.36
Y 0.163 0.663 0.500  0.10

Calculated values
- Size of the total moment: 0.252 μB/atom
- ΔE_f: -0.2249 eV per atom
- Space group: No. 127
- Energy above the most stable polymorph in this dataset: 0.0000 eV/atom

=====

5.
A plane-wave DFT calculation with PBE was carried out for YTiAs2 after structural relaxation.

a b c (Å): 3.826 3.826 6.993
angles (deg): 74.12 74.12 60.00
Atoms (fractional coordinates):
As 0.072 0.072 0.785
Ti 0.671 0.671 0.987
Y 0.497 0.497 0.510
As 0.261 0.261 0.218

Calculated values
- Size of the total moment: 0.000 μB/atom
- ΔE_f: -1.0713 eV per atom
- Space group: No. 160
- Energy above the most stable polymorph in this dataset: 0.0823 eV/atom

=====

6.
A plane-wave DFT calculation with PBE was carried out for Y3TiAs after structural relaxation.

a b c (Å): 5.406 5.406 5.406
angles (deg): 90.00 90.00 90.00
Site moments in Bohr magnetons follow the coordinates.
Atoms (fractional coordinates):
Ti 0.500 0.500 0.500  1.63
As 0.000 0.000 0.000  0.01
Y 0.500 0.000 0.000  0.17
Y 0.000 0.500 0.000  0.20
Y 0.000 0.000 0.500  0.23

Calculated values
- Size of the total moment: 0.761 μB/atom
- ΔE_f: -0.0436 eV per atom
- Space group: No. 221
- Energy above the most stable polymorph in this dataset: 0.0000 eV/atom

=====

7.
A plane-wave DFT calculation with PBE was carried out for YTiAs3 after structural relaxation.

a b c (Å): 4.880 4.880 4.880
angles (deg): 90.00 90.00 90.00
Atoms (fractional coordinates):
As 0.500 0.000 0.000
As 0.000 0.000 0.500
Ti 0.000 0.000 0.000
Y 0.500 0.500 0.500
As 0.000 0.500 0.000

Calculated values
- Size of the total moment: 0.000 μB/atom
- ΔE_f: -0.4227 eV per atom
- Space group: No. 221
- Energy above the most stable polymorph in this dataset: 0.0000 eV/atom

=====

8.
A plane-wave DFT calculation with PBE was carried out for YTiAs2 after structural relaxation.

a b c (Å): 4.827 4.827 4.827
angles (deg): 60.00 60.00 60.00
Site moments in Bohr magnetons follow the coordinates.
Atoms (fractional coordinates):
As 0.250 0.250 0.250  -0.06
As 0.750 0.750 0.750  -0.06
Ti 0.000 0.000 0.000  1.09
Y 0.500 0.500 0.500  0.13

Calculated values
- Size of the total moment: 0.359 μB/atom
- ΔE_f: -0.7240 eV per atom
- Space group: No. 225
- Energy above the most stable polymorph in this dataset: 0.4296 eV/atom

=====

Looking at volume for the records above, in order, we have 20.78, 28.32, 29.64, 22.48, 21.03, 31.59, 23.25, 19.88 Å³ per atom.